Arrangement A

DFT (PBE-GGA) results for crystalline ErSc4In2 at its relaxed geometry.

Cell lengths 5.8551, 5.8551, 6.4758 Å; angles 104.88, 104.88, 115.60 degrees
Site moments in Bohr magnetons follow the coordinates.
Fractional positions:
Er (0.0000, 0.0000, 0.0000)  0.03
Sc (0.7500, 0.2500, 0.5000)  0.17
Sc (0.2500, 0.7500, 0.5000)  0.17
Sc (0.5000, 0.0000, 0.0000)  0.13
Sc (0.0000, 0.5000, 0.0000)  0.13
In (0.6367, 0.6367, 0.2733)  0.00
In (0.3633, 0.3633, 0.7267)  0.00

Results
Space-group type: Fmmm
Calculated density (Mg/m³): 5.46



Arrangement B

DFT (PBE-GGA) results for crystalline ErSc4In2 at its relaxed geometry.

Cell lengths 4.0231, 4.0231, 11.4874 Å; angles 100.09, 100.09, 90.00 degrees
Fractional positions:
Er (0.0000, 0.0000, 0.0000)
Sc (0.1383, 0.1383, 0.2767)
Sc (0.8617, 0.8617, 0.7233)
Sc (0.7500, 0.2500, 0.5000)
Sc (0.2500, 0.7500, 0.5000)
In (0.5827, 0.5827, 0.1654)
In (0.4173, 0.4173, 0.8346)

Results
Space-group type: I4/mmm
Calculated density (Mg/m³): 5.32



Which one sits at the top of the stability order? arrangement A does.



Arrangement A

DFT (PBE-GGA) results for crystalline Er4ScIn at its relaxed geometry.

Cell lengths 3.4347, 9.2008, 5.5963 Å; angles 90.00, 90.00, 90.00 degrees
Fractional positions:
Er (0.5000, 0.6921, 0.9999)
Er (0.5000, 0.3079, 0.0001)
Er (0.0000, 0.1880, 0.5002)
Er (0.0000, 0.8120, 0.4998)
Sc (0.5000, 0.5000, 0.5000)
In (0.0000, 0.0000, 0.0000)

Results
Space-group type: Pmmm
Calculated density (Mg/m³): 7.78



Arrangement B

DFT (PBE-GGA) results for crystalline Er4ScIn at its relaxed geometry.

Cell lengths 5.1299, 5.1311, 7.4671 Å; angles 89.96, 89.97, 90.00 degrees
Fractional positions:
Er (0.5014, 0.9971, 0.2487)
Er (0.5013, 0.9975, 0.7474)
Er (0.0014, 0.4972, 0.7474)
Er (0.0012, 0.4973, 0.2489)
Sc (0.0013, 0.9973, 0.4982)
In (0.5013, 0.4974, 0.9982)

Results
Space-group type: P4/mmm
Calculated density (Mg/m³): 7.00



Which one sits at the top of the stability order? arrangement A does.



Arrangement A

DFT (PBE-GGA) results for crystalline Er2ScIn4 at its relaxed geometry.

Cell lengths 5.3829, 5.3829, 8.6332 Å; angles 108.16, 108.16, 90.00 degrees
Site moments in Bohr magnetons follow the coordinates.
Fractional positions:
Er (0.6108, 0.6108, 0.2216)  0.06
Er (0.3892, 0.3892, 0.7784)  0.06
Sc (0.0000, 0.0000, 0.0000)  0.40
In (0.8118, 0.8118, 0.6236)  0.06
In (0.1882, 0.1882, 0.3764)  0.06
In (0.0000, 0.5000, 0.0000)  0.05
In (0.5000, 0.0000, 0.0000)  0.05

Results
Space-group type: I4/mmm
Calculated density (Mg/m³): 6.20



Arrangement B

DFT (PBE-GGA) results for crystalline Er2ScIn4 at its relaxed geometry.

Cell lengths 5.1166, 5.1166, 8.0107 Å; angles 108.62, 108.62, 90.00 degrees
Site moments in Bohr magnetons follow the coordinates.
Fractional positions:
Er (0.7522, 0.7522, 0.5045)  0.06
Er (0.2478, 0.2478, 0.4955)  0.06
Sc (0.0000, 0.0000, 0.0000)  0.00
In (0.3902, 0.8902, 0.7803)  0.00
In (0.8902, 0.3902, 0.7803)  0.00
In (0.6098, 0.1098, 0.2197)  0.00
In (0.1098, 0.6098, 0.2197)  0.00

Results
Space-group type: I4/mmm
Calculated density (Mg/m³): 7.44



Which one sits at the top of the stability order? arrangement B does.



Arrangement A

DFT (PBE-GGA) results for crystalline Er3Sc2In2 at its relaxed geometry.

Cell lengths 3.1926, 5.2696, 10.9466 Å; angles 103.81, 90.00, 90.00 degrees
Site moments in Bohr magnetons follow the coordinates.
Fractional positions:
Er (0.0000, 0.2888, 0.5789)  0.07
Er (0.0000, 0.0000, 0.0000)  0.17
Er (0.0000, 0.7112, 0.4211)  0.07
Sc (0.0000, 0.4304, 0.8583)  0.21
Sc (0.0000, 0.5696, 0.1417)  0.21
In (0.5000, 0.1428, 0.2847)  -0.01
In (0.5000, 0.8572, 0.7153)  -0.01

Results
Space-group type: P2/m
Calculated density (Mg/m³): 7.63



Arrangement B

DFT (PBE-GGA) results for crystalline Er3Sc2In2 at its relaxed geometry.

Cell lengths 5.1444, 3.2309, 11.2695 Å; angles 90.00, 103.20, 90.00 degrees
Site moments in Bohr magnetons follow the coordinates.
Fractional positions:
Er (0.2881, 0.0000, 0.5765)  -0.02
Er (0.0000, 0.0000, 0.0000)  0.16
Er (0.7119, 0.0000, 0.4235)  -0.02
Sc (0.1375, 0.0000, 0.2742)  0.10
Sc (0.8625, 0.0000, 0.7258)  0.10
In (0.4232, 0.5000, 0.8475)  0.00
In (0.5768, 0.5000, 0.1525)  0.00

Results
Space-group type: P2/m
Calculated density (Mg/m³): 7.48



Which one sits at the top of the stability order? arrangement A does.



Arrangement A

DFT (PBE-GGA) results for crystalline Er2ScIn at its relaxed geometry.

Cell lengths 5.3068, 5.3068, 5.3068 Å; angles 60.00, 60.00, 60.00 degrees
Site moments in Bohr magnetons follow the coordinates.
Fractional positions:
Sc (0.5000, 0.5000, 0.5000)  0.25
In (0.0000, 0.0000, 0.0000)  -0.01
Er (0.2500, 0.2500, 0.2500)  0.15
Er (0.7500, 0.7500, 0.7500)  0.15

Results
Space-group type: Fm-3m
Calculated density (Mg/m³): 7.77



Arrangement B

DFT (PBE-GGA) results for crystalline Er2ScIn at its relaxed geometry.

Cell lengths 4.6928, 4.7188, 4.7188 Å; angles 90.00, 90.00, 90.00 degrees
Site moments in Bohr magnetons follow the coordinates.
Fractional positions:
Sc (0.5000, 0.0000, 0.0000)  0.20
In (0.5000, 0.5000, 0.5000)  -0.01
Er (0.0000, 0.0000, 0.5000)  0.14
Er (0.0000, 0.5000, 0.0000)  0.14

Results
Space-group type: P4/mmm
Calculated density (Mg/m³): 7.85



Which one sits at the top of the stability order? arrangement B does.



Arrangement A

DFT (PBE-GGA) results for crystalline Er6ScIn3 at its relaxed geometry.

Cell lengths 6.6032, 9.2980, 9.2980 Å; angles 96.15, 90.00, 90.00 degrees
Fractional positions:
Er (0.1001, 0.7380, 0.6990)
Er (0.6001, 0.6990, 0.7380)
Er (0.2942, 0.5625, 0.9858)
Er (0.7942, 0.9858, 0.5625)
Er (0.4166, 0.9209, 0.0791)
Er (0.5937, 0.3029, 0.6971)
Er (0.0937, 0.6971, 0.3029)
Er (0.9166, 0.0791, 0.9209)
Er (0.2942, 0.0142, 0.4375)
Er (0.7942, 0.4375, 0.0142)
Er (0.1001, 0.3010, 0.2620)
Er (0.6001, 0.2620, 0.3010)
Sc (0.0979, 0.3074, 0.6926)
Sc (0.5979, 0.6926, 0.3074)
In (0.3721, 0.0101, 0.7593)
In (0.8721, 0.7593, 0.0101)
In (0.3441, 0.4996, 0.5004)
In (0.8441, 0.5004, 0.4996)
In (0.8721, 0.9899, 0.2407)
In (0.3721, 0.2407, 0.9899)

Results
Space-group type: Cmc2_1
Calculated density (Mg/m³): 8.15



Arrangement B

DFT (PBE-GGA) results for crystalline Er6ScIn3 at its relaxed geometry.

Cell lengths 5.1849, 9.7040, 11.3684 Å; angles 105.40, 90.00, 90.00 degrees
Fractional positions:
Er (0.2500, 0.4459, 0.0905)
Er (0.7500, 0.5541, 0.9095)
Er (0.2500, 0.1199, 0.1851)
Er (0.7500, 0.8801, 0.8149)
Er (0.2500, 0.6580, 0.6827)
Er (0.7500, 0.3420, 0.3173)
Er (0.2500, 0.2532, 0.4992)
Er (0.7500, 0.7468, 0.5008)
Er (0.2500, 0.8238, 0.2974)
Er (0.7500, 0.1762, 0.7026)
Er (0.2500, 0.1092, 0.8854)
Er (0.7500, 0.8908, 0.1146)
Sc (0.2500, 0.9615, 0.5961)
Sc (0.7500, 0.0385, 0.4039)
In (0.2500, 0.5359, 0.3902)
In (0.7500, 0.4641, 0.6098)
In (0.2500, 0.3803, 0.7888)
In (0.7500, 0.6197, 0.2112)
In (0.2500, 0.7801, 0.9711)
In (0.7500, 0.2199, 0.0289)

Results
Space-group type: P2_1/m
Calculated density (Mg/m³): 8.39



Which one sits at the top of the stability order? arrangement B does.



Arrangement A

DFT (PBE-GGA) results for crystalline ErSc5In2 at its relaxed geometry.

Cell lengths 4.5669, 6.4638, 12.9357 Å; angles 90.00, 90.00, 90.00 degrees
Site moments in Bohr magnetons follow the coordinates.
Fractional positions:
Er (0.0000, 0.0000, 0.5000)  0.27
Er (0.0000, 0.5000, 0.0000)  0.27
Sc (0.0000, 0.0000, 0.0000)  0.33
Sc (0.0000, 0.5000, 0.5000)  0.33
Sc (0.0000, 0.4988, 0.7470)  0.33
Sc (0.0000, 0.5012, 0.2530)  0.33
Sc (0.0000, 0.0012, 0.2470)  0.33
Sc (0.0000, 0.9988, 0.7530)  0.33
Sc (0.5000, 0.2468, 0.8724)  0.33
Sc (0.5000, 0.7532, 0.1276)  0.33
Sc (0.5000, 0.2532, 0.3724)  0.33
Sc (0.5000, 0.7468, 0.6276)  0.33
In (0.5000, 0.2524, 0.6268)  -0.03
In (0.5000, 0.7476, 0.3732)  -0.03
In (0.5000, 0.2476, 0.1268)  -0.03
In (0.5000, 0.7524, 0.8732)  -0.03

Results
Space-group type: Pbam
Calculated density (Mg/m³): 5.41



Arrangement B

DFT (PBE-GGA) results for crystalline ErSc5In2 at its relaxed geometry.

Cell lengths 4.7310, 5.9797, 15.7789 Å; angles 90.00, 90.00, 113.30 degrees
Fractional positions:
Er (0.7211, 0.4422, 0.7500)
Er (0.2789, 0.5578, 0.2500)
Sc (0.9447, 0.8894, 0.8999)
Sc (0.9447, 0.8894, 0.6001)
Sc (0.3682, 0.7364, 0.4591)
Sc (0.3682, 0.7364, 0.0409)
Sc (0.5598, 0.1196, 0.2500)
Sc (0.4402, 0.8804, 0.7500)
Sc (0.6318, 0.2636, 0.5409)
Sc (0.6318, 0.2636, 0.9591)
Sc (0.0553, 0.1106, 0.1001)
Sc (0.0553, 0.1106, 0.3999)
In (0.7633, 0.5266, 0.3758)
In (0.7633, 0.5266, 0.1242)
In (0.2367, 0.4734, 0.6242)
In (0.2367, 0.4734, 0.8758)

Results
Space-group type: Cmcm
Calculated density (Mg/m³): 5.04



Which one sits at the top of the stability order? arrangement A does.



Arrangement A

DFT (PBE-GGA) results for crystalline Er3ScIn at its relaxed geometry.

Cell lengths 5.0887, 6.6526, 8.5667 Å; angles 90.81, 107.28, 90.00 degrees
Fractional positions:
Er (0.9942, 0.7450, 0.9885)
Er (0.0058, 0.2550, 0.0115)
Er (0.3904, 0.0097, 0.7808)
Er (0.6096, 0.9903, 0.2192)
Er (0.2026, 0.7322, 0.4052)
Er (0.7974, 0.2678, 0.5948)
Sc (0.6050, 0.4999, 0.2101)
Sc (0.3950, 0.5001, 0.7899)
In (0.8031, 0.7567, 0.6062)
In (0.1969, 0.2433, 0.3938)

Results
Space-group type: C2/m
Calculated density (Mg/m³): 7.93



Arrangement B

DFT (PBE-GGA) results for crystalline Er3ScIn at its relaxed geometry.

Cell lengths 4.7132, 4.7231, 12.3744 Å; angles 90.00, 79.02, 90.00 degrees
Fractional positions:
Er (0.7697, 0.2500, 0.1089)
Er (0.3758, 0.2500, 0.8967)
Er (0.5743, 0.2500, 0.4998)
Er (0.2725, 0.7500, 0.1033)
Er (0.8786, 0.7500, 0.8911)
Er (0.0741, 0.7500, 0.5002)
Sc (0.4752, 0.7500, 0.6980)
Sc (0.1732, 0.2500, 0.3020)
In (0.6722, 0.7500, 0.3040)
In (0.9762, 0.2500, 0.6960)

Results
Space-group type: Cmcm
Calculated density (Mg/m³): 8.12



Which one sits at the top of the stability order? arrangement B does.



Arrangement A

DFT (PBE-GGA) results for crystalline Er2Sc3In2 at its relaxed geometry.

Cell lengths 3.6160, 6.4287, 8.1170 Å; angles 99.96, 90.00, 106.33 degrees
Fractional positions:
Er (0.8669, 0.7342, 0.5689)
Er (0.1331, 0.2658, 0.4311)
Sc (0.0000, 0.0000, 0.0000)
Sc (0.7294, 0.4589, 0.1479)
Sc (0.2706, 0.5411, 0.8521)
In (0.5742, 0.1480, 0.7434)
In (0.4258, 0.8520, 0.2566)

Results
Space-group type: C2/m
Calculated density (Mg/m³): 6.52



Arrangement B

DFT (PBE-GGA) results for crystalline Er2Sc3In2 at its relaxed geometry.

Cell lengths 3.1392, 5.2387, 10.8141 Å; angles 104.00, 90.00, 90.00 degrees
Site moments in Bohr magnetons follow the coordinates.
Fractional positions:
Er (0.0000, 0.4239, 0.8474)  0.14
Er (0.0000, 0.5761, 0.1526)  0.14
Sc (0.0000, 0.2814, 0.5629)  0.35
Sc (0.0000, 0.0000, 0.0000)  0.21
Sc (0.0000, 0.7186, 0.4371)  0.35
In (0.5000, 0.1480, 0.2962)  -0.01
In (0.5000, 0.8520, 0.7038)  -0.01

Results
Space-group type: Cmmm
Calculated density (Mg/m³): 6.73



Which one sits at the top of the stability order? arrangement A does.



Arrangement A

DFT (PBE-GGA) results for crystalline SmErScIn at its relaxed geometry.

Cell lengths 5.3652, 5.3652, 5.3652 Å; angles 60.00, 60.00, 60.00 degrees
Site moments in Bohr magnetons follow the coordinates.
Fractional positions:
Sc (0.0000, 0.0000, 0.0000)  0.34
In (0.5000, 0.5000, 0.5000)  -0.01
Sm (0.7500, 0.7500, 0.7500)  0.13
Er (0.2500, 0.2500, 0.2500)  0.22

Results
Space-group type: F-43m
Calculated density (Mg/m³): 7.26



Arrangement B

DFT (PBE-GGA) results for crystalline SmErScIn at its relaxed geometry.

Cell lengths 4.7622, 4.7411, 4.7744 Å; angles 90.00, 90.00, 90.00 degrees
Site moments in Bohr magnetons follow the coordinates.
Fractional positions:
Sm (0.5000, 0.5000, 0.0000)  0.08
Er (0.5000, 0.0000, 0.5000)  0.11
Sc (0.0000, 0.0000, 0.0000)  0.14
In (0.0000, 0.5000, 0.5000)  -0.01

Results
Space-group type: Pmmm
Calculated density (Mg/m³): 7.35



Which one sits at the top of the stability order? arrangement B does.



Arrangement A

DFT (PBE-GGA) results for crystalline TbErScIn at its relaxed geometry.

Cell lengths 5.3325, 5.3325, 5.3325 Å; angles 60.00, 60.00, 60.00 degrees
Site moments in Bohr magnetons follow the coordinates.
Fractional positions:
Sc (0.0000, 0.0000, 0.0000)  0.31
In (0.5000, 0.5000, 0.5000)  -0.01
Tb (0.2500, 0.2500, 0.2500)  0.16
Er (0.7500, 0.7500, 0.7500)  0.19

Results
Space-group type: F-43m
Calculated density (Mg/m³): 7.53



Arrangement B

DFT (PBE-GGA) results for crystalline TbErScIn at its relaxed geometry.

Cell lengths 4.7190, 4.7315, 4.7439 Å; angles 90.00, 90.00, 90.00 degrees
Site moments in Bohr magnetons follow the coordinates.
Fractional positions:
Tb (0.5000, 0.5000, 0.0000)  0.15
Er (0.5000, 0.0000, 0.5000)  0.16
Sc (0.0000, 0.0000, 0.0000)  0.22
In (0.0000, 0.5000, 0.5000)  -0.01

Results
Space-group type: Pmmm
Calculated density (Mg/m³): 7.62



Which one sits at the top of the stability order? arrangement B does.



Arrangement A

DFT (PBE-GGA) results for crystalline ErTmScIn at its relaxed geometry.

Cell lengths 5.2980, 5.2980, 5.2980 Å; angles 60.00, 60.00, 60.00 degrees
Site moments in Bohr magnetons follow the coordinates.
Fractional positions:
Sc (0.0000, 0.0000, 0.0000)  0.22
Tm (0.2500, 0.2500, 0.2500)  0.13
In (0.5000, 0.5000, 0.5000)  -0.01
Er (0.7500, 0.7500, 0.7500)  0.12

Results
Space-group type: F-43m
Calculated density (Mg/m³): 7.83



Arrangement B

DFT (PBE-GGA) results for crystalline ErTmScIn at its relaxed geometry.

Cell lengths 4.6829, 4.7115, 4.7139 Å; angles 90.00, 90.00, 90.00 degrees
Site moments in Bohr magnetons follow the coordinates.
Fractional positions:
Er (0.0000, 0.5000, 0.5000)  0.11
Tm (0.0000, 0.0000, 0.0000)  0.11
Sc (0.5000, 0.0000, 0.5000)  0.16
In (0.5000, 0.5000, 0.0000)  -0.01

Results
Space-group type: Pmmm
Calculated density (Mg/m³): 7.92



Which one sits at the top of the stability order? arrangement B does.